First-principles (GGA-PBE) data for an optimized crystal structure of YEr3Tm2, as listed in Alexandria via LeMat-Bulk.

a = 3.462 Å, b = 10.098 Å, c = 11.521 Å
α = 108.26°, β = 98.64°, γ = 90.00°
Atoms (fractional coordinates):
Er 0.069 0.765 0.139
Er 0.696 0.714 0.392
Er 0.441 0.560 0.882
Er 0.304 0.286 0.608
Er 0.931 0.235 0.861
Er 0.559 0.440 0.118
Tm 0.070 0.139 0.139
Tm 0.693 0.373 0.386
Tm 0.930 0.861 0.861
Tm 0.307 0.627 0.614
Y 0.314 0.961 0.628
Y 0.686 0.039 0.372

Properties
Energy relative to the lowest polymorph listed for this composition ... 99 meV/atom
DFT total energy ... -56.7 eV/cell

=====

First-principles (GGA-PBE) data for an optimized crystal structure of NaZn6Ga12, as listed in Alexandria via LeMat-Bulk.

a = 7.426 Å, b = 7.426 Å, c = 7.426 Å
α = 104.35°, β = 104.35°, γ = 104.35°
Atoms (fractional coordinates):
Ga 0.634 0.634 0.878
Ga 0.889 0.500 0.111
Ga 0.634 0.878 0.634
Ga 0.111 0.500 0.889
Ga 0.889 0.111 0.500
Ga 0.366 0.122 0.366
Ga 0.500 0.111 0.889
Ga 0.366 0.366 0.122
Ga 0.111 0.889 0.500
Ga 0.500 0.889 0.111
Ga 0.122 0.366 0.366
Ga 0.878 0.634 0.634
Zn 0.308 0.308 0.706
Zn 0.692 0.692 0.294
Zn 0.692 0.294 0.692
Zn 0.706 0.308 0.308
Zn 0.294 0.692 0.692
Zn 0.308 0.706 0.308
Na 0.000 0.000 0.000

Properties
DFT total energy ... -44.6 eV/cell

=====

First-principles (GGA-PBE) data for an optimized crystal structure of Zr2TiO2, as listed in Alexandria via LeMat-Bulk.

a = 3.520 Å, b = 3.520 Å, c = 7.345 Å
α = 76.14°, β = 76.14°, γ = 90.00°
Last column: magnetic moment on the atom in μB.
Atoms (fractional coordinates):
O 0.750 0.250 0.500  0.02
O 0.250 0.750 0.500  0.02
Zr 0.339 0.339 0.321  0.06
Zr 0.661 0.661 0.679  0.06
Ti 0.000 0.000 0.000  0.66

Properties
Energy relative to the lowest polymorph listed for this composition ... 0 meV/atom
DFT total energy ... -42.8 eV/cell

=====

First-principles (GGA-PBE) data for an optimized crystal structure of Ta2TlF11, as listed in Alexandria via LeMat-Bulk.

a = 8.195 Å, b = 9.156 Å, c = 9.156 Å
α = 70.07°, β = 63.41°, γ = 63.41°
Atoms (fractional coordinates):
F 0.793 0.419 0.791
F 0.000 0.000 0.000
F 0.838 0.491 0.294
F 0.504 0.081 0.709
F 0.338 0.794 0.991
F 0.207 0.581 0.209
F 0.496 0.919 0.291
F 0.996 0.791 0.419
F 0.129 0.206 0.794
F 0.877 0.991 0.794
F 0.629 0.294 0.706
F 0.371 0.706 0.294
F 0.293 0.291 0.919
F 0.662 0.206 0.009
F 0.500 0.500 0.500
F 0.707 0.709 0.081
F 0.004 0.209 0.581
F 0.623 0.706 0.509
F 0.123 0.009 0.206
F 0.162 0.509 0.706
F 0.871 0.794 0.206
F 0.377 0.294 0.491
Ta 0.394 0.317 0.683
Ta 0.894 0.183 0.817
Ta 0.606 0.683 0.317
Ta 0.106 0.817 0.183
Tl 0.750 0.750 0.750
Tl 0.250 0.250 0.250

Properties
DFT total energy ... -178.6 eV/cell

=====

First-principles (GGA-PBE) data for an optimized crystal structure of BPS2, as listed in Alexandria via LeMat-Bulk.

a = 4.213 Å, b = 4.213 Å, c = 4.213 Å
α = 60.00°, β = 60.00°, γ = 60.00°
Atoms (fractional coordinates):
P 0.500 0.500 0.500
B 0.000 0.000 0.000
S 0.250 0.250 0.250
S 0.750 0.750 0.750

Properties
Energy relative to the lowest polymorph listed for this composition ... 925 meV/atom
DFT total energy ... -14.9 eV/cell

=====

First-principles (GGA-PBE) data for an optimized crystal structure of Li2CaAs2, as listed in Alexandria via LeMat-Bulk.

a = 4.789 Å, b = 4.789 Å, c = 5.613 Å
α = 64.75°, β = 64.75°, γ = 90.00°
Atoms (fractional coordinates):
Li 0.651 0.651 0.698
Li 0.349 0.349 0.302
As 0.250 0.750 0.500
As 0.750 0.250 0.500
Ca 0.000 0.000 0.000

Properties
DFT total energy ... -18.0 eV/cell

=====

First-principles (GGA-PBE) data for an optimized crystal structure of ReCSe2Br, as listed in Alexandria via LeMat-Bulk.

a = 4.292 Å, b = 4.292 Å, c = 4.365 Å
α = 90.00°, β = 90.00°, γ = 90.00°
Atoms (fractional coordinates):
Re 0.500 0.500 0.500
Se 0.500 0.000 0.000
Se 0.000 0.500 0.000
Br 0.000 0.000 0.500
C 0.000 0.000 0.000

Properties
Energy relative to the lowest polymorph listed for this composition ... 103 meV/atom
DFT total energy ... -21.3 eV/cell

=====

First-principles (GGA-PBE) data for an optimized crystal structure of LaPmBeGa, as listed in Alexandria via LeMat-Bulk.

a = 5.162 Å, b = 5.162 Å, c = 5.162 Å
α = 60.00°, β = 60.00°, γ = 60.00°
Atoms (fractional coordinates):
Pm 0.750 0.750 0.750
Ga 0.500 0.500 0.500
Be 0.000 0.000 0.000
La 0.250 0.250 0.250

Properties
DFT total energy ... -17.1 eV/cell

=====

First-principles (GGA-PBE) data for an optimized crystal structure of Ca2Si2As, as listed in Alexandria via LeMat-Bulk.

a = 7.216 Å, b = 7.216 Å, c = 4.332 Å
α = 90.00°, β = 90.00°, γ = 90.00°
Atoms (fractional coordinates):
Ca 0.680 0.820 0.500
Ca 0.180 0.680 0.500
Ca 0.820 0.320 0.500
Ca 0.320 0.180 0.500
As 0.000 0.000 0.000
As 0.500 0.500 0.000
Si 0.385 0.885 0.000
Si 0.885 0.615 0.000
Si 0.115 0.385 0.000
Si 0.615 0.115 0.000

Properties
Energy relative to the lowest polymorph listed for this composition ... 0 meV/atom
DFT total energy ... -43.5 eV/cell

=====

First-principles (GGA-PBE) data for an optimized crystal structure of SbBr3N, as listed in Alexandria via LeMat-Bulk.

a = 5.994 Å, b = 10.714 Å, c = 7.556 Å
α = 97.84°, β = 105.67°, γ = 56.69°
Last column: magnetic moment on the atom in μB.
Atoms (fractional coordinates):
Br 0.506 0.694 0.261  0.02
Br 0.863 0.606 0.793  0.02
Br 0.026 0.896 0.597  0.01
Br 0.089 0.112 0.261  0.02
Br 0.279 0.188 0.794  0.02
Br 0.342 0.403 0.457  0.01
Sb 0.405 0.900 0.509  0.01
Sb 0.963 0.400 0.546  0.01
N 0.757 0.894 0.070  1.92
N 0.612 0.405 0.985  1.92

Properties
Energy relative to the lowest polymorph listed for this composition ... 0 meV/atom
DFT total energy ... -29.4 eV/cell

=====

First-principles (GGA-PBE) data for an optimized crystal structure of NaCe3Tl4Se8, as listed in Alexandria via LeMat-Bulk.

a = 8.609 Å, b = 7.742 Å, c = 8.602 Å
α = 90.05°, β = 120.03°, γ = 90.00°
Last column: magnetic moment on the atom in μB.
Atoms (fractional coordinates):
Se 0.667 0.705 0.334  -0.02
Se 0.174 0.705 0.348  -0.02
Se 0.174 0.705 0.827  -0.02
Se 0.826 0.295 0.652  -0.02
Se 0.653 0.705 0.827  -0.02
Se 0.347 0.295 0.173  -0.02
Se 0.333 0.295 0.666  -0.02
Se 0.826 0.295 0.173  -0.02
Ce 0.500 0.500 0.500  0.44
Ce 0.000 0.500 0.500  0.44
Ce 0.500 0.500 0.000  0.44
Tl 0.500 0.000 0.500  0.00
Tl 0.000 0.000 0.000  0.00
Tl 0.500 0.000 0.000  0.00
Tl 0.000 0.000 0.500  0.00
Na 0.000 0.500 0.000  0.00

Properties
DFT total energy ... -75.0 eV/cell

=====

First-principles (GGA-PBE) data for an optimized crystal structure of GdHoMo4, as listed in Alexandria via LeMat-Bulk.

a = 5.524 Å, b = 5.524 Å, c = 5.524 Å
α = 60.00°, β = 60.00°, γ = 60.00°
Last column: magnetic moment on the atom in μB.
Atoms (fractional coordinates):
Mo 0.125 0.625 0.625  0.00
Mo 0.625 0.625 0.125  0.00
Mo 0.625 0.625 0.625  0.00
Mo 0.625 0.125 0.625  0.00
Gd 0.250 0.250 0.250  7.09
Ho 0.000 0.000 0.000  0.07

Properties
DFT total energy ... -61.3 eV/cell

=====

First-principles (GGA-PBE) data for an optimized crystal structure of RbGaPb, as listed in Alexandria via LeMat-Bulk.

a = 6.868 Å, b = 4.810 Å, c = 7.538 Å
α = 108.62°, β = 92.00°, γ = 110.49°
Atoms (fractional coordinates):
Pb 0.717 0.881 0.172
Pb 0.142 0.245 0.472
Ga 0.539 0.370 0.328
Ga 0.911 0.656 0.525
Rb 0.134 0.523 0.038
Rb 0.557 0.073 0.713

Properties
DFT total energy ... -16.1 eV/cell

=====

First-principles (GGA-PBE) data for an optimized crystal structure of Ge2BrO, as listed in Alexandria via LeMat-Bulk.

a = 5.112 Å, b = 5.112 Å, c = 7.759 Å
α = 70.77°, β = 70.77°, γ = 90.00°
Atoms (fractional coordinates):
Ge 0.296 0.625 0.250
Ge 0.875 0.704 0.750
Ge 0.454 0.125 0.250
Ge 0.375 0.546 0.750
Br 0.000 0.000 0.000
Br 0.750 0.250 0.500
O 0.250 0.750 0.500
O 0.500 0.500 0.000

Properties
Energy relative to the lowest polymorph listed for this composition ... 0 meV/atom
DFT total energy ... -34.0 eV/cell

=====

First-principles (GGA-PBE) data for an optimized crystal structure of Ce3Ga2Ge3, as listed in Alexandria via LeMat-Bulk.

a = 4.578 Å, b = 5.823 Å, c = 14.666 Å
α = 90.00°, β = 90.00°, γ = 113.15°
Last column: magnetic moment on the atom in μB.
Atoms (fractional coordinates):
Ce 0.653 0.305 0.032  0.81
Ce 0.347 0.695 0.968  0.81
Ce 0.653 0.305 0.468  0.81
Ce 0.432 0.864 0.250  0.71
Ce 0.568 0.136 0.750  0.71
Ce 0.347 0.695 0.532  0.81
Ga 0.162 0.323 0.162  0.01
Ga 0.838 0.677 0.838  0.01
Ga 0.838 0.677 0.662  0.01
Ga 0.162 0.323 0.338  0.01
Ge 0.054 0.109 0.586  -0.02
Ge 0.718 0.436 0.250  -0.01
Ge 0.946 0.891 0.414  -0.02
Ge 0.946 0.891 0.086  -0.02
Ge 0.054 0.109 0.914  -0.02
Ge 0.282 0.564 0.750  -0.01

Properties
Energy relative to the lowest polymorph listed for this composition ... 70 meV/atom
DFT total energy ... -83.9 eV/cell

=====

First-principles (GGA-PBE) data for an optimized crystal structure of PuHf2Mn, as listed in Alexandria via LeMat-Bulk.

a = 3.172 Å, b = 3.172 Å, c = 7.856 Å
α = 90.00°, β = 90.00°, γ = 90.00°
Last column: magnetic moment on the atom in μB.
Atoms (fractional coordinates):
Pu 0.500 0.500 0.500  5.25
Mn 0.500 0.500 0.000  0.46
Hf 0.000 0.000 0.804  -0.01
Hf 0.000 0.000 0.196  -0.01

Properties
DFT total energy ... -43.3 eV/cell

=====

First-principles (GGA-PBE) data for an optimized crystal structure of Nd8AsP4S3, as listed in Alexandria via LeMat-Bulk.

a = 8.297 Å, b = 8.309 Å, c = 8.297 Å
α = 119.95°, β = 120.00°, γ = 90.00°
Atoms (fractional coordinates):
S 0.500 0.500 0.500
S 0.000 0.500 0.500
S 0.500 0.500 0.000
Nd 0.752 0.757 0.004
Nd 0.248 0.243 0.996
Nd 0.753 0.758 0.505
Nd 0.747 0.243 0.996
Nd 0.253 0.757 0.505
Nd 0.253 0.757 0.004
Nd 0.747 0.243 0.495
Nd 0.247 0.242 0.495
As 0.000 0.500 0.000
P 0.500 0.000 0.000
P 0.000 0.000 0.500
P 0.000 0.000 0.000
P 0.500 0.000 0.500

Properties
DFT total energy ... -105.2 eV/cell

=====

First-principles (GGA-PBE) data for an optimized crystal structure of NpSbRh, as listed in Alexandria via LeMat-Bulk.

a = 3.308 Å, b = 3.308 Å, c = 6.174 Å
α = 105.54°, β = 105.54°, γ = 90.00°
Last column: magnetic moment on the atom in μB.
Atoms (fractional coordinates):
Np 0.273 0.273 0.545  3.90
Rh 0.605 0.605 0.210  -0.11
Sb 0.973 0.973 0.945  -0.02

Properties
DFT total energy ... -24.9 eV/cell

=====

First-principles (GGA-PBE) data for an optimized crystal structure of Mg2SiIN, as listed in Alexandria via LeMat-Bulk.

a = 5.084 Å, b = 5.600 Å, c = 5.084 Å
α = 90.00°, β = 90.00°, γ = 90.00°
Last column: magnetic moment on the atom in μB.
Atoms (fractional coordinates):
Si 0.000 0.000 0.000  -0.02
N 0.500 0.500 0.500  1.38
Mg 0.000 0.000 0.500  -0.01
Mg 0.500 0.000 0.000  -0.01
I 0.000 0.500 0.000  0.07

Properties
DFT total energy ... -13.2 eV/cell

=====

First-principles (GGA-PBE) data for an optimized crystal structure of MgUI6, as listed in Alexandria via LeMat-Bulk.

a = 8.006 Å, b = 8.006 Å, c = 7.275 Å
α = 90.44°, β = 90.44°, γ = 119.41°
Last column: magnetic moment on the atom in μB.
Atoms (fractional coordinates):
I 0.295 0.998 0.245  -0.03
I 0.705 0.002 0.755  -0.03
I 0.998 0.295 0.245  -0.03
I 0.002 0.705 0.755  -0.03
I 0.294 0.294 0.762  -0.03
I 0.706 0.706 0.238  -0.03
U 0.000 0.000 0.500  2.14
Mg 0.000 0.000 0.000  0.00

Properties
Energy relative to the lowest polymorph listed for this composition ... 0 meV/atom
DFT total energy ... -29.3 eV/cell

=====

First-principles (GGA-PBE) data for an optimized crystal structure of ZrHgAu, as listed in Alexandria via LeMat-Bulk.

a = 3.096 Å, b = 4.653 Å, c = 8.644 Å
α = 90.00°, β = 100.32°, γ = 90.00°
Atoms (fractional coordinates):
Hg 0.790 0.750 0.580
Hg 0.210 0.250 0.420
Au 0.045 0.250 0.090
Au 0.955 0.750 0.910
Zr 0.393 0.250 0.786
Zr 0.607 0.750 0.214

Properties
DFT total energy ... -26.1 eV/cell

=====

First-principles (GGA-PBE) data for an optimized crystal structure of TbCuO3, as listed in Alexandria via LeMat-Bulk.

a = 3.784 Å, b = 3.784 Å, c = 3.784 Å
α = 90.00°, β = 90.00°, γ = 90.00°
Atoms (fractional coordinates):
Tb 0.000 0.000 0.000
O 0.500 0.000 0.500
O 0.000 0.500 0.500
O 0.500 0.500 0.000
Cu 0.500 0.500 0.500

Properties
DFT total energy ... -32.8 eV/cell

=====

First-principles (GGA-PBE) data for an optimized crystal structure of YOs2S4, as listed in Alexandria via LeMat-Bulk.

a = 5.124 Å, b = 5.124 Å, c = 7.146 Å
α = 68.99°, β = 68.99°, γ = 90.00°
Atoms (fractional coordinates):
Y 0.000 0.000 0.000
Os 0.405 0.405 0.191
Os 0.595 0.595 0.809
S 0.771 0.771 0.457
S 0.229 0.229 0.543
S 0.000 0.500 0.000
S 0.500 0.000 0.000

Properties
DFT total energy ... -43.6 eV/cell